1.
# PBE VCrCu2Pt, relaxed
data_VCrCu2Pt
_chemical_formula_sum 'V1 Cr1 Cu2 Pt1'
_space_group_name_H-M_alt 'P 4/m m m'
_space_group_IT_number 123
_space_group_name_Hall '-P 4 2'
_cell_length_a 4.626
_cell_length_b 4.626
_cell_length_c 4.508
_cell_angle_alpha 90.00
_cell_angle_beta 90.00
_cell_angle_gamma 90.00
loop_
_atom_site_label
_atom_site_type_symbol
_atom_site_fract_x
_atom_site_fract_y
_atom_site_fract_z
_atom_site_occupancy
V1 V 0.000 0.000 0.000 1
Cr1 Cr 0.500 0.500 0.000 1
Cu1 Cu 0.000 0.500 0.500 1
Pt1 Pt 0.500 0.500 0.500 1
# Crystal system   tetragonal
# ΔE_f   1.455 eV/atom
# DFT total energy   -5.140 eV per atom

=====

2.
# PBE BaTaRh, relaxed
data_BaTaRh
_chemical_formula_sum 'Ba1 Ta1 Rh1'
_space_group_name_H-M_alt 'P 3 m 1'
_space_group_IT_number 156
_space_group_name_Hall 'P 3 -2"'
_cell_length_a 4.2604
_cell_length_b 4.2604
_cell_length_c 5.4958
_cell_angle_alpha 90.00
_cell_angle_beta 90.00
_cell_angle_gamma 120.00
loop_
_atom_site_label
_atom_site_type_symbol
_atom_site_fract_x
_atom_site_fract_y
_atom_site_fract_z
_atom_site_occupancy
Ba1 Ba 0.0000 0.0000 0.0000 1
Ta1 Ta 0.3333 0.6667 0.4852 1
Rh1 Rh 0.6667 0.3333 0.5431 1
# E above lowest polymorph   100 meV/atom
# Crystal system   trigonal
# ΔE_f   0.260 eV/atom
# DFT total energy   -6.782 eV per atom

=====

3.
# PBE Sr2HfSiI, relaxed
data_Sr2HfSiI
_chemical_formula_sum 'Sr2 Hf1 Si1 I1'
_space_group_name_H-M_alt 'P 4/m m m'
_space_group_IT_number 123
_space_group_name_Hall '-P 4 2'
_cell_length_a 6.156
_cell_length_b 6.156
_cell_length_c 5.055
_cell_angle_alpha 90.00
_cell_angle_beta 90.00
_cell_angle_gamma 90.00
loop_
_atom_site_label
_atom_site_type_symbol
_atom_site_fract_x
_atom_site_fract_y
_atom_site_fract_z
_atom_site_occupancy
Sr1 Sr 0.000 0.500 0.000 1
Hf1 Hf 0.000 0.000 0.500 1
Si1 Si 0.000 0.000 0.000 1
I1 I 0.500 0.500 0.500 1
# Crystal system   tetragonal
# Raw formation energy   -0.098 eV per atom
# DFT total energy   -4.156 eV per atom

=====

4.
# PBE AcNdLuGa, relaxed
data_AcNdLuGa
_chemical_formula_sum 'Ac4 Nd4 Lu4 Ga4'
_space_group_name_H-M_alt 'F -4 3 m'
_space_group_IT_number 216
_space_group_name_Hall 'F -4 2 3'
_cell_length_a 7.791
_cell_length_b 7.791
_cell_length_c 7.791
_cell_angle_alpha 90.00
_cell_angle_beta 90.00
_cell_angle_gamma 90.00
loop_
_atom_site_label
_atom_site_type_symbol
_atom_site_fract_x
_atom_site_fract_y
_atom_site_fract_z
_atom_site_occupancy
Ac1 Ac 0.000 0.000 0.000 1
Nd1 Nd 0.250 0.250 0.250 1
Lu1 Lu 0.250 0.250 0.750 1
Ga1 Ga 0.000 0.000 0.500 1
# Crystal system   cubic
# ΔE_f   0.058 eV/atom
# DFT total energy   -4.048 eV per atom

=====

5.
# PBE LaNd3Ag2, relaxed
data_LaNd3Ag2
_chemical_formula_sum 'La1 Nd3 Ag2'
_space_group_name_H-M_alt 'P 4/m m m'
_space_group_IT_number 123
_space_group_name_Hall '-P 4 2'
_cell_length_a 3.747
_cell_length_b 3.747
_cell_length_c 12.705
_cell_angle_alpha 90.00
_cell_angle_beta 90.00
_cell_angle_gamma 90.00
loop_
_atom_site_label
_atom_site_type_symbol
_atom_site_fract_x
_atom_site_fract_y
_atom_site_fract_z
_atom_site_occupancy
La1 La 0.000 0.000 0.000 1
Nd1 Nd 0.500 0.500 0.203 1
Nd2 Nd 0.500 0.500 0.500 1
Ag1 Ag 0.000 0.000 0.351 1
# Crystal system   tetragonal
# ΔE_f   -0.155 eV/atom
# DFT total energy   -4.311 eV per atom

=====

6.
# PBE Cs2Dy2SnSe6, relaxed
data_Cs2Dy2SnSe6
_chemical_formula_sum 'Cs4 Dy4 Sn2 Se12'
_space_group_name_H-M_alt 'C 1 2/m 1'
_space_group_IT_number 12
_space_group_name_Hall '-C 2y'
_cell_length_a 7.168
_cell_length_b 12.380
_cell_length_c 8.992
_cell_angle_alpha 90.00
_cell_angle_beta 106.06
_cell_angle_gamma 90.00
loop_
_atom_site_label
_atom_site_type_symbol
_atom_site_fract_x
_atom_site_fract_y
_atom_site_fract_z
_atom_site_occupancy
Cs1 Cs 0.000 0.170 0.000 1
Dy1 Dy 0.000 0.332 0.500 1
Sn1 Sn 0.000 0.000 0.500 1
Se1 Se 0.225 0.160 0.682 1
Se2 Se 0.244 0.500 0.679 1
# Crystal system   monoclinic
# Raw formation energy   -1.345 eV per atom
# DFT total energy   -4.602 eV per atom

=====

Look up the DFT total energy of the third one. -4.156 eV per atom